one.
A plane-wave DFT calculation with PBE was carried out for a relaxed YZnTc crystal.

Lattice parameters (Å, degrees): 4.471 4.471 4.471 60.00 60.00 60.00
Sites, in units of the cell vectors:
Tc (0.000, 0.000, 0.000)
Y (0.500, 0.500, 0.500)
Zn (0.250, 0.250, 0.250)

* crystal system: cubic
* SG: F-43m, No. 216

two.
A plane-wave DFT calculation with PBE was carried out for a relaxed YZnTc crystal.

Lattice parameters (Å, degrees): 4.365 4.365 3.631 90.00 90.00 120.00
Sites, in units of the cell vectors:
Tc (0.000, 0.000, 0.833)
Y (0.667, 0.333, 0.334)
Zn (0.333, 0.667, 0.833)

* crystal system: hexagonal
* SG: P-6m2, No. 187

Preferred: two; penalty for the next structure: 319 meV per atom.

one.
A plane-wave DFT calculation with PBE was carried out for a relaxed ZnTc2 crystal.

Lattice parameters (Å, degrees): 4.097 4.097 4.097 60.00 60.00 60.00
Sites, in units of the cell vectors:
Tc (0.750, 0.750, 0.750)
Tc (0.250, 0.250, 0.250)
Zn (0.000, 0.000, 0.000)

* crystal system: cubic
* SG: Fm-3m, No. 225

two.
A plane-wave DFT calculation with PBE was carried out for a relaxed ZnTc2 crystal.

Lattice parameters (Å, degrees): 2.765 2.765 6.630 90.00 90.00 120.00
Sites, in units of the cell vectors:
Zn (0.667, 0.333, 0.333)
Tc (0.000, 0.000, 0.989)
Tc (0.333, 0.667, 0.678)

* crystal system: trigonal
* SG: P-3m1, No. 164

Preferred: two; penalty for the next structure: 1022 meV per atom.